Version A
This record from Alexandria describes a relaxed CaNd2Bi crystal. The functional is GGA-PBE.

As for the total magnetization: 0.0 μB per cell.

The structure belongs to space group P4/mmm (No. 123); the cell edges are 4.970, 4.970 and 5.162 Å and the angles 90.00°, 90.00° and 90.00°. The inequivalent atoms are Ca at (0.000, 0.000, 0.000), Nd at (0.000, 0.500, 0.500) and Bi at (0.500, 0.500, 0.000).

---

Version B
This record from Alexandria describes a relaxed CaNd2Bi crystal. The functional is GGA-PBE.

As for the total magnetization: 0.0 μB per cell.

The structure belongs to space group P4/mmm (No. 123); the cell edges are 4.375, 4.375 and 6.934 Å and the angles 90.00°, 90.00° and 90.00°. The inequivalent atoms are Ca at (0.000, 0.000, 0.000), Nd at (0.500, 0.500, 0.265) and Bi at (0.000, 0.000, 0.500).

---

Least stable structure among those shown: version A.